(1)
A relaxed structure of GaSb2Pd4. Source: Alexandria via LeMat-Bulk, functional PBE.

The structure in POSCAR format:
```
GaSb2Pd4
1.0
1.5801 -6.1799 0.0000
1.5801 6.1799 0.0000
0.0000 0.0000 13.6336
Ga Sb Pd
2 4 8
Cartesian
1.5801 4.4921 10.2252 Ga
1.5801 -4.4921 3.4084 Ga
1.5801 1.8925 8.1601 Sb
1.5801 1.8925 12.2904 Sb
1.5801 -1.8925 1.3432 Sb
1.5801 -1.8925 5.4736 Sb
0.0000 0.0000 0.0000 Pd
0.0000 0.0000 6.8168 Pd
1.5801 1.9631 1.4347 Pd
1.5801 1.9631 5.3821 Pd
1.5801 0.2710 10.2252 Pd
1.5801 -0.2710 3.4084 Pd
1.5801 -1.9631 8.2515 Pd
1.5801 -1.9631 12.1989 Pd
```

Calculated values
ΔE_f (raw): -0.355 eV per atom
relative energy among the computed polymorphs: 0 meV per atom

(2)
A relaxed structure of BiP2SI. Source: Alexandria via LeMat-Bulk, functional PBE.

The structure in POSCAR format:
```
BiP2SI
1.0
5.1640 0.0000 0.0000
0.0000 5.1640 0.0000
0.0000 0.0000 4.9562
Bi P S I
1 2 1 1
Cartesian
0.0000 0.0000 0.0000 Bi
0.0000 2.5820 2.4781 P
2.5820 0.0000 2.4781 P
2.5820 2.5820 0.0000 S
2.5820 2.5820 2.4781 I
```

Calculated values
ΔE_f (raw): 1.141 eV per atom
relative energy among the computed polymorphs: 26 meV per atom